The following is a PBE calculation of a geometry-optimized HgBi2Cl2 structure, from Alexandria via LeMat-Bulk. Values from VASP.

Output
Space group: No. 127
Total magnetic moment in μB per formula unit: 0.00
Raw formation energy in kJ/mol of formula units: -186.2
Uncorrected energy in eV per atom: -2.7374

```
&SYSTEM
  ibrav = 0, nat = 10, ntyp = 3
/
ATOMIC_SPECIES
Bi 208.98 Bi.upf
Cl 35.45 Cl.upf
Hg 200.59 Hg.upf
CELL_PARAMETERS angstrom
-3.4200 1.0015 7.1031
-7.0478 -1.9351 -3.1205
0.9146 -5.2303 1.1778
ATOMIC_POSITIONS crystal
Bi 0.6405 0.1405 0.0000
Bi 0.3595 0.8595 0.0000
Bi 0.1405 0.3595 0.0000
Bi 0.8595 0.6405 0.0000
Cl 0.6800 0.1800 0.5000
Cl 0.8200 0.6800 0.5000
Cl 0.1800 0.3200 0.5000
Cl 0.3200 0.8200 0.5000
Hg 0.0000 0.0000 0.0000
Hg 0.5000 0.5000 0.0000
```



The following is a PBE calculation of a geometry-optimized HgBiCl3 structure, from Alexandria via LeMat-Bulk. Values from VASP.

Output
E above lowest polymorph in meV per atom: 15.7
Space group: No. 2
Total magnetic moment in μB per formula unit: 0.00
Raw formation energy in kJ/mol of formula units: -359.8
Uncorrected energy in eV per atom: -2.6903

```
&SYSTEM
  ibrav = 0, nat = 10, ntyp = 3
/
ATOMIC_SPECIES
Hg 200.59 Hg.upf
Bi 208.98 Bi.upf
Cl 35.45 Cl.upf
CELL_PARAMETERS angstrom
7.1423 0.0253 0.2132
-1.7747 6.7408 -0.0123
2.0304 0.9227 7.0862
ATOMIC_POSITIONS crystal
Hg 0.3323 0.2918 0.4447
Hg 0.3404 0.0430 0.1157
Bi 0.6336 0.8661 0.7932
Bi 0.0385 0.4686 0.7667
Cl 0.9235 0.0998 0.9560
Cl 0.2739 0.5180 0.9893
Cl 0.7489 0.2347 0.6035
Cl 0.3980 0.8167 0.5707
Cl 0.7584 0.5742 0.0286
Cl 0.9135 0.7602 0.5313
```



The following is a PBE calculation of a geometry-optimized HgBiCl3 structure, from Alexandria via LeMat-Bulk. Values from VASP.

Output
E above lowest polymorph in meV per atom: 23.0
Space group: No. 1
Total magnetic moment in μB per formula unit: 0.00
Raw formation energy in kJ/mol of formula units: -356.2
Uncorrected energy in eV per atom: -2.6829

```
&SYSTEM
  ibrav = 0, nat = 5, ntyp = 3
/
ATOMIC_SPECIES
Cl 35.45 Cl.upf
Hg 200.59 Hg.upf
Bi 208.98 Bi.upf
CELL_PARAMETERS angstrom
5.4544 0.0127 0.0443
-0.0148 8.9233 -0.0463
-0.0336 0.0333 4.0432
ATOMIC_POSITIONS crystal
Cl 0.4661 0.3756 0.3418
Cl 0.4661 0.7936 0.3391
Cl 0.9572 0.5844 0.8409
Hg 0.9701 0.0842 0.8359
Bi 0.4705 0.5846 0.8409
```



The following is a PBE calculation of a geometry-optimized HgBiCl structure, from Alexandria via LeMat-Bulk. Values from VASP.

Output
E above lowest polymorph in meV per atom: 32.2
Space group: No. 2
Total magnetic moment in μB per formula unit: 0.00
Raw formation energy in kJ/mol of formula units: -94.3
Uncorrected energy in eV per atom: -2.3355

```
&SYSTEM
  ibrav = 0, nat = 6, ntyp = 3
/
ATOMIC_SPECIES
Hg 200.59 Hg.upf
Cl 35.45 Cl.upf
Bi 208.98 Bi.upf
CELL_PARAMETERS angstrom
-7.8997 -4.0678 7.4947
-6.9540 -6.3445 5.0614
-1.2641 -9.4907 5.1220
ATOMIC_POSITIONS crystal
Hg 0.0034 0.9222 0.6173
Hg 0.0043 0.3856 0.0817
Cl 0.0053 0.7481 0.4419
Cl 0.0031 0.5589 0.2573
Bi 0.4859 0.5943 0.7752
Bi 0.5229 0.7123 0.9240
```



The following is a PBE calculation of a geometry-optimized HgBi3Cl structure, from Alexandria via LeMat-Bulk. Values from VASP.

Output
E above lowest polymorph in meV per atom: 44.7
Space group: No. 221
Total magnetic moment in μB per formula unit: 0.00
Raw formation energy in kJ/mol of formula units: 283.0
Uncorrected energy in eV per atom: -2.1717

```
&SYSTEM
  ibrav = 0, nat = 5, ntyp = 3
/
ATOMIC_SPECIES
Bi 208.98 Bi.upf
Hg 200.59 Hg.upf
Cl 35.45 Cl.upf
CELL_PARAMETERS angstrom
5.5991 0.0000 0.0000
0.0000 5.5991 0.0000
0.0000 0.0000 5.5991
ATOMIC_POSITIONS crystal
Bi 0.0000 0.5000 0.0000
Bi 0.0000 0.0000 0.5000
Bi 0.5000 0.0000 0.0000
Hg 0.5000 0.5000 0.5000
Cl 0.0000 0.0000 0.0000
```



The following is a PBE calculation of a geometry-optimized HgBiCl4 structure, from Alexandria via LeMat-Bulk. Values from VASP.

Output
Space group: No. 31
Total magnetic moment in μB per formula unit: 0.00
Raw formation energy in kJ/mol of formula units: -411.4
Uncorrected energy in eV per atom: -2.6389

```
&SYSTEM
  ibrav = 0, nat = 12, ntyp = 3
/
ATOMIC_SPECIES
Cl 35.45 Cl.upf
Hg 200.59 Hg.upf
Bi 208.98 Bi.upf
CELL_PARAMETERS angstrom
-2.5616 4.3271 -1.1201
-8.7790 -4.7001 1.9200
0.4817 2.3349 7.9183
ATOMIC_POSITIONS crystal
Cl 0.4017 0.5599 0.5000
Cl 0.9017 0.4401 0.0000
Cl 0.8507 0.8739 0.2924
Cl 0.8507 0.8739 0.7076
Cl 0.3198 0.8040 0.0000
Cl 0.3507 0.1261 0.2076
Cl 0.8198 0.1960 0.5000
Cl 0.3507 0.1261 0.7924
Hg 0.9020 0.5549 0.5000
Hg 0.4020 0.4451 0.0000
Bi 0.0469 0.0026 0.0000
Bi 0.5469 0.9974 0.5000
```



The following is a PBE calculation of a geometry-optimized HgBiCl3 structure, from Alexandria via LeMat-Bulk. Values from VASP.

Output
E above lowest polymorph in meV per atom: 68.9
Space group: No. 14
Total magnetic moment in μB per formula unit: 0.00
Raw formation energy in kJ/mol of formula units: -334.1
Uncorrected energy in eV per atom: -2.6371

```
&SYSTEM
  ibrav = 0, nat = 20, ntyp = 3
/
ATOMIC_SPECIES
Cl 35.45 Cl.upf
Hg 200.59 Hg.upf
Bi 208.98 Bi.upf
CELL_PARAMETERS angstrom
28.3602 0.0000 -1.3132
0.0000 7.7002 0.0000
-9.9064 0.0000 3.7959
ATOMIC_POSITIONS crystal
Cl 0.3289 0.7646 0.2630
Cl 0.3665 0.2360 0.4136
Cl 0.2167 0.8978 0.6436
Cl 0.6335 0.7640 0.5864
Cl 0.8665 0.2640 0.9136
Cl 0.1711 0.2646 0.2370
Cl 0.2833 0.3978 0.8564
Cl 0.7167 0.6022 0.1436
Cl 0.6711 0.2354 0.7370
Cl 0.7833 0.1022 0.3564
Cl 0.1335 0.7360 0.0864
Cl 0.8289 0.7354 0.7630
Hg 0.6362 0.4387 0.3417
Hg 0.3638 0.5613 0.6583
Hg 0.8638 0.9387 0.1583
Hg 0.1362 0.0613 0.8417
Bi 0.9633 0.7036 0.8887
Bi 0.4633 0.7964 0.3887
Bi 0.0367 0.2964 0.1113
Bi 0.5367 0.2036 0.6113
```



The following is a PBE calculation of a geometry-optimized HgBiCl3 structure, from Alexandria via LeMat-Bulk. Values from VASP.

Output
E above lowest polymorph in meV per atom: 360.5
Space group: No. 194
Total magnetic moment in μB per formula unit: 0.03
Raw formation energy in kJ/mol of formula units: -193.4
Uncorrected energy in eV per atom: -2.3455

```
&SYSTEM
  ibrav = 0, nat = 10, ntyp = 3
/
ATOMIC_SPECIES
Cl 35.45 Cl.upf
Hg 200.59 Hg.upf
Bi 208.98 Bi.upf
CELL_PARAMETERS angstrom
-1.9455 -2.6711 3.3309
3.3462 -1.7718 -2.7711
12.9948 5.6213 12.0977
ATOMIC_POSITIONS crystal
Cl 0.0000 0.0000 0.2500
Cl 0.3333 0.6667 0.5608
Cl 0.3333 0.6667 0.9392
Cl 0.0000 0.0000 0.7500
Cl 0.6667 0.3333 0.4392
Cl 0.6667 0.3333 0.0608
Hg 0.3333 0.6667 0.7500
Hg 0.6667 0.3333 0.2500
Bi 0.0000 0.0000 0.0000
Bi 0.0000 0.0000 0.5000
```



Please write out number 7 again, unchanged.
The following is a PBE calculation of a geometry-optimized HgBiCl3 structure, from Alexandria via LeMat-Bulk. Values from VASP.

Output
E above lowest polymorph in meV per atom: 68.9
Space group: No. 14
Total magnetic moment in μB per formula unit: 0.00
Raw formation energy in kJ/mol of formula units: -334.1
Uncorrected energy in eV per atom: -2.6371

```
&SYSTEM
  ibrav = 0, nat = 20, ntyp = 3
/
ATOMIC_SPECIES
Cl 35.45 Cl.upf
Hg 200.59 Hg.upf
Bi 208.98 Bi.upf
CELL_PARAMETERS angstrom
28.3602 0.0000 -1.3132
0.0000 7.7002 0.0000
-9.9064 0.0000 3.7959
ATOMIC_POSITIONS crystal
Cl 0.3289 0.7646 0.2630
Cl 0.3665 0.2360 0.4136
Cl 0.2167 0.8978 0.6436
Cl 0.6335 0.7640 0.5864
Cl 0.8665 0.2640 0.9136
Cl 0.1711 0.2646 0.2370
Cl 0.2833 0.3978 0.8564
Cl 0.7167 0.6022 0.1436
Cl 0.6711 0.2354 0.7370
Cl 0.7833 0.1022 0.3564
Cl 0.1335 0.7360 0.0864
Cl 0.8289 0.7354 0.7630
Hg 0.6362 0.4387 0.3417
Hg 0.3638 0.5613 0.6583
Hg 0.8638 0.9387 0.1583
Hg 0.1362 0.0613 0.8417
Bi 0.9633 0.7036 0.8887
Bi 0.4633 0.7964 0.3887
Bi 0.0367 0.2964 0.1113
Bi 0.5367 0.2036 0.6113
```